# Pr3TlHg2

A relaxed structure of Pr3TlHg2 (PBE, the Alexandria database).

Properties
- VASP energy (eV for the cell shown) = -19.95
- ΔE_f (eV/atom) = -0.4401
- total moment (μB per formula unit) = 1.402
- crystal system = tetragonal

a = 3.858 Å, b = 3.858 Å, c = 11.884 Å
α = 90.00°, β = 90.00°, γ = 90.00°
Space group P4/mmm (No. 123)
Symmetry-distinct sites (fractional):
Pr  0.000  0.000  0.000 (multiplicity 1)
Pr  0.000  0.000  0.326 (multiplicity 2)
Tl  0.500  0.500  0.500 (multiplicity 1)
Hg  0.500  0.500  0.163 (multiplicity 2)

---

# Pr5TlHg2

A relaxed structure of Pr5TlHg2 (PBE, the Alexandria database).

Properties
- VASP energy (eV for the cell shown) = -117.41
- ΔE_f (eV/atom) = -0.3105
- total moment (μB per formula unit) = 0.001
- crystal system = tetragonal

a = 8.098 Å, b = 8.098 Å, c = 15.491 Å
α = 90.00°, β = 90.00°, γ = 90.00°
Space group I4/mcm (No. 140)
Symmetry-distinct sites (fractional):
Pr  0.000  0.000  0.000 (multiplicity 4)
Pr  0.160  0.340  0.153 (multiplicity 16)
Tl  0.000  0.000  0.250 (multiplicity 4)
Hg  0.132  0.368  0.500 (multiplicity 8)

---

# PrTlHg2

A relaxed structure of PrTlHg2 (PBE, the Alexandria database).

Properties
- VASP energy (eV for the cell shown) = -8.88
- ΔE_f (eV/atom) = -0.2826
- total moment (μB per formula unit) = 0.333
- crystal system = tetragonal

a = 3.949 Å, b = 3.949 Å, c = 7.167 Å
α = 90.00°, β = 90.00°, γ = 90.00°
Space group P4/mmm (No. 123)
Symmetry-distinct sites (fractional):
Pr  0.000  0.000  0.000 (multiplicity 1)
Tl  0.000  0.000  0.500 (multiplicity 1)
Hg  0.500  0.500  0.248 (multiplicity 2)

---

# Pr6TlHg5

A relaxed structure of Pr6TlHg5 (PBE, the Alexandria database).

Properties
- energy above the most stable polymorph in this dataset (meV per atom) = 147
- VASP energy (eV for the cell shown) = -72.53
- ΔE_f (eV/atom) = -0.3096
- total moment (μB per formula unit) = 0.000
- crystal system = monoclinic

a = 7.035 Å, b = 11.890 Å, c = 9.361 Å
α = 90.00°, β = 103.31°, γ = 90.00°
Space group C2/m (No. 12)
Symmetry-distinct sites (fractional):
Pr  0.209  0.000  0.220 (multiplicity 4)
Pr  0.234  0.173  0.728 (multiplicity 8)
Tl  0.000  0.500  0.000 (multiplicity 2)
Hg  0.000  0.000  0.500 (multiplicity 2)
Hg  0.000  0.202  0.000 (multiplicity 4)
Hg  0.000  0.371  0.500 (multiplicity 4)

---

# Pr3Tl4Hg2

A relaxed structure of Pr3Tl4Hg2 (PBE, the Alexandria database).

Properties
- energy above the most stable polymorph in this dataset (meV per atom) = 37
- VASP energy (eV for the cell shown) = -27.12
- ΔE_f (eV/atom) = -0.3019
- total moment (μB per formula unit) = 0.000
- crystal system = hexagonal

a = 8.1857 Å, b = 8.1857 Å, c = 4.4942 Å
α = 90.00°, β = 90.00°, γ = 120.00°
Space group P-62m (No. 189)
Symmetry-distinct sites (fractional):
Pr  0.0000  0.4003  0.0000 (multiplicity 3)
Tl  0.0000  0.0000  0.0000 (multiplicity 1)
Tl  0.0000  0.7333  0.5000 (multiplicity 3)
Hg  0.3333  0.6667  0.5000 (multiplicity 2)

---

# Pr6TlHg5

A relaxed structure of Pr6TlHg5 (PBE, the Alexandria database).

Properties
- energy above the most stable polymorph in this dataset (meV per atom) = 0
- VASP energy (eV for the cell shown) = -38.03
- ΔE_f (eV/atom) = -0.4564
- total moment (μB per formula unit) = 3.101
- crystal system = monoclinic

a = 5.468 Å, b = 7.792 Å, c = 8.663 Å
α = 90.00°, β = 108.45°, γ = 90.00°
Space group P2/m (No. 10)
Symmetry-distinct sites (fractional):
Pr  0.000  0.247  0.000 (multiplicity 2)
Pr  0.333  0.249  0.664 (multiplicity 4)
Tl  0.500  0.500  0.000 (multiplicity 1)
Hg  0.165  0.500  0.332 (multiplicity 2)
Hg  0.166  0.000  0.334 (multiplicity 2)
Hg  0.500  0.000  0.000 (multiplicity 1)

---

# Pr6Tl3Hg

A relaxed structure of Pr6Tl3Hg (PBE, the Alexandria database).

Properties
- energy above the most stable polymorph in this dataset (meV per atom) = 111
- VASP energy (eV for the cell shown) = -76.10
- ΔE_f (eV/atom) = -0.1973
- total moment (μB per formula unit) = 0.000
- crystal system = monoclinic

a = 8.476 Å, b = 8.361 Å, c = 12.694 Å
α = 90.00°, β = 131.62°, γ = 90.00°
Space group P2_1/c (No. 14)
Symmetry-distinct sites (fractional):
Pr  0.002  0.102  0.254 (multiplicity 4)
Pr  0.233  0.663  0.065 (multiplicity 4)
Pr  0.410  0.161  0.066 (multiplicity 4)
Tl  0.000  0.000  0.000 (multiplicity 2)
Tl  0.298  0.155  0.744 (multiplicity 4)
Hg  0.500  0.000  0.500 (multiplicity 2)

---

# Pr3Tl2Hg3

A relaxed structure of Pr3Tl2Hg3 (PBE, the Alexandria database).

Properties
- energy above the most stable polymorph in this dataset (meV per atom) = 0
- VASP energy (eV for the cell shown) = -45.25
- ΔE_f (eV/atom) = -0.3312
- total moment (μB per formula unit) = 0.000
- crystal system = hexagonal

a = 9.3159 Å, b = 9.3159 Å, c = 6.5565 Å
α = 90.00°, β = 90.00°, γ = 120.00°
Space group P6_3/mcm (No. 193)
Symmetry-distinct sites (fractional):
Pr  0.0000  0.3299  0.2500 (multiplicity 6)
Tl  0.3333  0.6667  0.0000 (multiplicity 4)
Hg  0.0000  0.3294  0.7500 (multiplicity 6)